Entry 1:
Here is a relaxed structure of CsAcCuS2 from Alexandria via LeMat-Bulk. Energies are from PBE.

Cell: 4.8419 8.1301 8.8826 Å, 100.66 90.00 90.00°
Last column: nearest neighbours and their distance in Å.
Fractional positions:
S1 0.7040 0.2139 0.5333  1 Cu 2.23
Cu1 0.0000 0.0000 0.5000  2 S 2.23
Ac1 0.4895 0.0000 0.2500  4 S 2.97, 4 Cu 3.25-3.32
Cs1 0.8279 0.5000 0.2500  6 S 3.55-3.78
S2 0.2960 0.2139 0.0333  1 Cu 2.23
S3 0.2960 0.7861 0.4667  1 Cu 2.23
Cs2 0.1721 0.5000 0.7500  6 S 3.55-3.78
Cu2 0.0000 0.0000 0.0000  2 S 2.23
Ac2 0.5105 0.0000 0.7500  4 S 2.97, 4 Cu 3.25-3.32
S4 0.7040 0.7861 0.9667  1 Cu 2.23

Properties
**Formation energy without anion corrections**: -1.10 eV/atom

---

Entry 2:
Here is a relaxed structure of CsAc2CuS4 from Alexandria via LeMat-Bulk. Energies are from PBE.

Cell: 4.3146 7.8243 14.6179 Å, 90.00 90.00 106.00°
Last column: nearest neighbours and their distance in Å.
Fractional positions:
Ac1 0.3656 0.7313 0.5594  6 S 2.88-3.08
Cs1 0.8975 0.7950 0.2500  8 S 3.56-3.97
Ac2 0.3656 0.7313 0.9406  6 S 2.88-3.08
S1 0.5857 0.1714 0.2500  2 Cu 2.50
S2 0.4143 0.8286 0.7500  2 Cu 2.50
Cu1 0.1698 0.3397 0.2500  4 S 2.38-2.50
S3 0.2567 0.5134 0.1140  1 Cu 2.38
S4 0.0000 0.0000 0.0000  4 Ac 3.08
Ac3 0.6344 0.2687 0.4406  6 S 2.88-3.08
S5 0.0000 0.0000 0.5000  4 Ac 3.08
S6 0.7433 0.4866 0.8860  1 Cu 2.38
Cs2 0.1025 0.2050 0.7500  8 S 3.56-3.97
S7 0.7433 0.4866 0.6140  1 Cu 2.38
S8 0.2567 0.5134 0.3860  1 Cu 2.38
Cu2 0.8302 0.6603 0.7500  4 S 2.38-2.50
Ac4 0.6344 0.2687 0.0594  6 S 2.88-3.08

Properties
**Formation energy without anion corrections**: -1.67 eV/atom

---

Entry 3:
Here is a relaxed structure of CsAc2CuSe4 from Alexandria via LeMat-Bulk. Energies are from PBE.

Cell: 4.4599 8.1010 15.2542 Å, 90.00 90.00 105.98°
Last column: nearest neighbours and their distance in Å.
Fractional positions:
Cu1 0.1660 0.3320 0.2500  4 Se 2.52-2.59
Se1 0.7406 0.4812 0.8850  1 Cu 2.52
Se2 0.7406 0.4812 0.6150  1 Cu 2.52
Ac1 0.6348 0.2696 0.0602  6 Se 3.01-3.20
Cs1 0.8961 0.7922 0.2500  6 Se 3.64-3.71
Se3 0.5808 0.1616 0.2500  2 Cu 2.59
Ac2 0.3652 0.7304 0.5602  6 Se 3.01-3.20
Se4 0.0000 0.0000 0.0000  4 Ac 3.20
Cu2 0.8340 0.6680 0.7500  4 Se 2.52-2.59
Se5 0.0000 0.0000 0.5000  4 Ac 3.20
Se6 0.2594 0.5188 0.3850  1 Cu 2.52
Ac3 0.6348 0.2696 0.4398  6 Se 3.01-3.20
Se7 0.2594 0.5188 0.1150  1 Cu 2.52
Cs2 0.1039 0.2078 0.7500  6 Se 3.64-3.71
Ac4 0.3652 0.7304 0.9398  6 Se 3.01-3.20
Se8 0.4192 0.8384 0.7500  2 Cu 2.59

Properties
**Formation energy without anion corrections**: -1.58 eV/atom

---

Entry 4:
Here is a relaxed structure of CsAcCuSe2 from Alexandria via LeMat-Bulk. Energies are from PBE.

Cell: 4.8375 8.5596 9.1328 Å, 99.43 90.00 90.00°
Last column: nearest neighbours and their distance in Å.
Fractional positions:
Cu1 0.0000 0.0000 0.0000  2 Se 2.36
Se1 0.6999 0.7792 0.9689  1 Cu 2.36
Ac1 0.5104 0.0000 0.7500  4 Se 3.10-3.11, 4 Cu 3.29-3.36
Se2 0.3001 0.2208 0.0311  1 Cu 2.36
Cs1 0.8241 0.5000 0.2500  6 Se 3.67-3.83
Ac2 0.4896 0.0000 0.2500  4 Se 3.10-3.11, 4 Cu 3.29-3.36
Cs2 0.1759 0.5000 0.7500  6 Se 3.67-3.83
Se3 0.3001 0.7792 0.4689  1 Cu 2.36
Se4 0.6999 0.2208 0.5311  1 Cu 2.36
Cu2 0.0000 0.0000 0.5000  2 Se 2.36

Properties
**Formation energy without anion corrections**: -1.05 eV/atom

---

Asked for DFT total energy across the records above, the calculation gives -4.565 -5.381 -4.963 -4.252 eV/atom in order.